1.
Density functional theory data (PBE+U) for a geometry-optimized Rb3CoO3 structure.

Cell lengths 7.431, 5.869, 7.441 Å; angles 90.00, 101.67, 90.00 degrees
Positions (direct):
Rb1 0.089 0.250 0.319
Rb2 0.319 0.750 0.088
Rb3 0.394 0.750 0.605
Rb4 0.606 0.250 0.395
Rb5 0.681 0.250 0.912
Rb6 0.911 0.750 0.681
Co1 0.206 0.250 0.793
Co2 0.794 0.750 0.207
O1 0.032 0.750 0.306
O2 0.305 0.250 0.031
O3 0.363 0.250 0.637
O4 0.637 0.750 0.363
O5 0.695 0.750 0.969
O6 0.968 0.250 0.694

Computed properties:
The value obtained for the density of states at the Fermi level is 0.00 states/eV per cell. Its space-group type is P2_1/m, No. 11. The calculation puts the final energy at -63.18 eV per cell. As for the magnetic moment: 0.571 μB per atom.

2.
Density functional theory data (PBE+U) for a geometry-optimized Rb2Co2O3 structure.

Cell lengths 11.353, 3.632, 6.357 Å; angles 90.00, 106.31, 90.00 degrees
Positions (direct):
Rb1 0.108 0.000 0.329
Rb2 0.392 0.500 0.671
Rb3 0.608 0.500 0.329
Rb4 0.892 0.000 0.671
Co1 0.153 0.500 0.925
Co2 0.347 0.000 0.075
Co3 0.653 0.000 0.925
Co4 0.847 0.500 0.075
O1 0.000 0.500 0.000
O2 0.191 0.000 0.810
O3 0.309 0.500 0.190
O4 0.500 0.000 0.000
O5 0.691 0.500 0.810
O6 0.809 0.000 0.190

Computed properties:
Its space-group type is C2/m, No. 12. The calculation puts the final energy at -69.07 eV per cell. As for the magnetic moment: 0.859 μB per atom.

3.
Density functional theory data (PBE+U) for a geometry-optimized Rb12Co3O5 structure.

Cell lengths 15.892, 15.892, 15.892 Å; angles 109.47, 109.47, 109.47 degrees
Positions (direct):
Rb1 0.010 0.191 0.111
Rb2 0.010 0.319 0.898
Rb3 0.080 0.691 0.681
Rb4 0.080 0.889 0.398
Rb5 0.102 0.611 0.420
Rb6 0.102 0.990 0.681
Rb7 0.111 0.010 0.191
Rb8 0.111 0.602 0.920
Rb9 0.181 0.191 0.580
Rb10 0.181 0.490 0.602
Rb11 0.191 0.111 0.010
Rb12 0.191 0.580 0.181
Rb13 0.309 0.319 0.920
Rb14 0.309 0.490 0.389
Rb15 0.319 0.898 0.010
Rb16 0.319 0.920 0.309
Rb17 0.389 0.309 0.490
Rb18 0.389 0.580 0.898
Rb19 0.398 0.080 0.889
Rb20 0.398 0.819 0.510
Rb21 0.420 0.102 0.611
Rb22 0.420 0.819 0.809
Rb23 0.490 0.389 0.309
Rb24 0.490 0.602 0.181
Rb25 0.510 0.398 0.819
Rb26 0.510 0.611 0.691
Rb27 0.580 0.181 0.191
Rb28 0.580 0.898 0.389
Rb29 0.602 0.181 0.490
Rb30 0.602 0.920 0.111
Rb31 0.611 0.420 0.102
Rb32 0.611 0.691 0.510
Rb33 0.681 0.080 0.691
Rb34 0.681 0.102 0.990
Rb35 0.691 0.510 0.611
Rb36 0.691 0.681 0.080
Rb37 0.809 0.420 0.819
Rb38 0.809 0.889 0.990
Rb39 0.819 0.510 0.398
Rb40 0.819 0.809 0.420
Rb41 0.889 0.398 0.080
Rb42 0.889 0.990 0.809
Rb43 0.898 0.010 0.319
Rb44 0.898 0.389 0.580
Rb45 0.920 0.111 0.602
Rb46 0.920 0.309 0.319
Rb47 0.990 0.681 0.102
Rb48 0.990 0.809 0.889
Co1 0.125 0.250 0.375
Co2 0.125 0.375 0.750
Co3 0.250 0.375 0.125
Co4 0.250 0.875 0.625
Co5 0.375 0.125 0.250
Co6 0.375 0.750 0.125
Co7 0.625 0.250 0.875
Co8 0.625 0.875 0.750
Co9 0.750 0.125 0.375
Co10 0.750 0.625 0.875
Co11 0.875 0.625 0.250
Co12 0.875 0.750 0.625
O1 0.000 0.000 0.000
O2 0.000 0.000 0.500
O3 0.000 0.500 0.000
O4 0.000 0.500 0.500
O5 0.125 0.750 0.875
O6 0.125 0.875 0.250
O7 0.250 0.125 0.875
O8 0.250 0.625 0.375
O9 0.375 0.250 0.625
O10 0.375 0.625 0.750
O11 0.500 0.000 0.000
O12 0.500 0.000 0.500
O13 0.500 0.500 0.000
O14 0.500 0.500 0.500
O15 0.625 0.375 0.250
O16 0.625 0.750 0.375
O17 0.750 0.375 0.625
O18 0.750 0.875 0.125
O19 0.875 0.125 0.750
O20 0.875 0.250 0.125

Computed properties:
The value obtained for the density of states at the Fermi level is 59.23 states/eV per cell. Its space-group type is Ia-3d, No. 230. The calculation puts the final energy at -230.82 eV per cell. As for the magnetic moment: 0.356 μB per atom.

4.
Density functional theory data (PBE+U) for a geometry-optimized Rb4CoO4 structure.

Cell lengths 7.856, 7.856, 6.168 Å; angles 90.00, 90.00, 90.00 degrees
Positions (direct):
Rb1 0.031 0.751 0.113
Rb2 0.249 0.531 0.613
Rb3 0.251 0.969 0.613
Rb4 0.469 0.749 0.113
Rb5 0.531 0.251 0.887
Rb6 0.749 0.031 0.387
Rb7 0.751 0.469 0.387
Rb8 0.969 0.249 0.887
Co1 0.250 0.250 0.250
Co2 0.750 0.750 0.750
O1 0.060 0.249 0.421
O2 0.249 0.440 0.079
O3 0.251 0.060 0.079
O4 0.440 0.251 0.421
O5 0.560 0.749 0.579
O6 0.749 0.940 0.921
O7 0.751 0.560 0.921
O8 0.940 0.751 0.579

Computed properties:
Its space-group type is P4_2/n, No. 86. The calculation puts the final energy at -78.98 eV per cell. As for the magnetic moment: 0.548 μB per atom.

5.
Density functional theory data (PBE+U) for a geometry-optimized Rb3Co5O12 structure.

Cell lengths 11.295, 11.295, 11.295 Å; angles 109.47, 109.47, 109.47 degrees
Positions (direct):
Rb1 0.125 0.250 0.375
Rb2 0.125 0.375 0.750
Rb3 0.250 0.375 0.125
Rb4 0.250 0.875 0.625
Rb5 0.375 0.125 0.250
Rb6 0.375 0.750 0.125
Rb7 0.625 0.250 0.875
Rb8 0.625 0.875 0.750
Rb9 0.750 0.125 0.375
Rb10 0.750 0.625 0.875
Rb11 0.875 0.625 0.250
Rb12 0.875 0.750 0.625
Co1 0.000 0.000 0.000
Co2 0.000 0.000 0.500
Co3 0.000 0.500 0.000
Co4 0.000 0.500 0.500
Co5 0.125 0.750 0.875
Co6 0.125 0.875 0.250
Co7 0.250 0.125 0.875
Co8 0.250 0.625 0.375
Co9 0.375 0.250 0.625
Co10 0.375 0.625 0.750
Co11 0.500 0.000 0.000
Co12 0.500 0.000 0.500
Co13 0.500 0.500 0.000
Co14 0.500 0.500 0.500
Co15 0.625 0.375 0.250
Co16 0.625 0.750 0.375
Co17 0.750 0.375 0.625
Co18 0.750 0.875 0.125
Co19 0.875 0.125 0.750
Co20 0.875 0.250 0.125
O1 0.014 0.688 0.112
O2 0.014 0.826 0.902
O3 0.076 0.674 0.688
O4 0.076 0.902 0.388
O5 0.098 0.612 0.924
O6 0.098 0.986 0.174
O7 0.112 0.014 0.688
O8 0.112 0.598 0.424
O9 0.174 0.098 0.986
O10 0.174 0.576 0.188
O11 0.188 0.174 0.576
O12 0.188 0.514 0.612
O13 0.312 0.888 0.986
O14 0.312 0.924 0.326
O15 0.326 0.312 0.924
O16 0.326 0.514 0.402
O17 0.388 0.076 0.902
O18 0.388 0.812 0.486
O19 0.402 0.326 0.514
O20 0.402 0.576 0.888
O21 0.424 0.112 0.598
O22 0.424 0.812 0.826
O23 0.486 0.388 0.812
O24 0.486 0.598 0.674
O25 0.514 0.402 0.326
O26 0.514 0.612 0.188
O27 0.576 0.188 0.174
O28 0.576 0.888 0.402
O29 0.598 0.424 0.112
O30 0.598 0.674 0.486
O31 0.612 0.188 0.514
O32 0.612 0.924 0.098
O33 0.674 0.486 0.598
O34 0.674 0.688 0.076
O35 0.688 0.076 0.674
O36 0.688 0.112 0.014
O37 0.812 0.486 0.388
O38 0.812 0.826 0.424
O39 0.826 0.424 0.812
O40 0.826 0.902 0.014
O41 0.888 0.402 0.576
O42 0.888 0.986 0.312
O43 0.902 0.014 0.826
O44 0.902 0.388 0.076
O45 0.924 0.098 0.612
O46 0.924 0.326 0.312
O47 0.986 0.174 0.098
O48 0.986 0.312 0.888

Computed properties:
The value obtained for the density of states at the Fermi level is 30.25 states/eV per cell. Its space-group type is Ia-3d, No. 230. The calculation puts the final energy at -406.63 eV per cell. As for the magnetic moment: 0.958 μB per atom.

6.
Density functional theory data (PBE+U) for a geometry-optimized RbCoO2 structure.

Cell lengths 6.121, 6.121, 6.121 Å; angles 90.00, 90.00, 90.00 degrees
Positions (direct):
Rb1 0.000 0.000 0.000
Rb2 0.000 0.500 0.500
Rb3 0.500 0.000 0.500
Rb4 0.500 0.500 0.000
Co1 0.000 0.000 0.500
Co2 0.000 0.500 0.000
Co3 0.500 0.000 0.000
Co4 0.500 0.500 0.500
O1 0.250 0.250 0.250
O2 0.250 0.250 0.750
O3 0.250 0.750 0.250
O4 0.250 0.750 0.750
O5 0.750 0.250 0.250
O6 0.750 0.250 0.750
O7 0.750 0.750 0.250
O8 0.750 0.750 0.750

Computed properties:
The value obtained for the density of states at the Fermi level is 16.91 states/eV per cell. Its space-group type is Fm-3m, No. 225. The calculation puts the final energy at -62.59 eV per cell. As for the magnetic moment: 1.000 μB per atom.

7.
Density functional theory data (PBE+U) for a geometry-optimized Rb2CoO2 structure.

Cell lengths 13.225, 5.004, 9.007 Å; angles 90.00, 90.00, 90.00 degrees
Positions (direct):
Rb1 0.096 0.250 0.063
Rb2 0.154 0.250 0.631
Rb3 0.346 0.750 0.131
Rb4 0.404 0.750 0.563
Rb5 0.596 0.250 0.437
Rb6 0.654 0.250 0.869
Rb7 0.846 0.750 0.369
Rb8 0.904 0.750 0.937
Co1 0.115 0.750 0.342
Co2 0.385 0.250 0.842
Co3 0.615 0.750 0.158
Co4 0.885 0.250 0.658
O1 0.031 0.750 0.194
O2 0.201 0.750 0.485
O3 0.299 0.250 0.985
O4 0.469 0.250 0.694
O5 0.531 0.750 0.306
O6 0.701 0.750 0.015
O7 0.799 0.250 0.515
O8 0.969 0.250 0.806

Computed properties:
The value obtained for the density of states at the Fermi level is 0.00 states/eV per cell. Its space-group type is Pnma, No. 62. The calculation puts the final energy at -90.03 eV per cell. As for the magnetic moment: 0.608 μB per atom.